CeEuI2 | PBE | optimized geometry

Properties
- Volume: 123.2 Å³/cell
- DOS(E_F): 8.75 states/eV/f.u.
- Magnetization: 9.18 μB per formula unit
- Formation energy without anion corrections: -0.85 eV per atom

Lattice parameters (Å, degrees): 3.9315 3.9315 7.9731 90.00 90.00 90.00
Space group P4/mmm (No. 123)
Asymmetric unit:
Ce  0.0000  0.0000  0.0000 x1
Eu  0.0000  0.0000  0.5000 x1
I  0.5000  0.5000  0.2391 x2

GdMgTlPd | PBE | optimized geometry

Properties
- Volume: 357.1 Å³/cell
- Formation energy: -0.482 eV/atom
- DOS(E_F): 1.49 states/eV/f.u.
- Magnetization: 7.13 μB per formula unit

Lattice parameters (Å, degrees): 7.0943 7.0943 7.0943 90.00 90.00 90.00
Space group F-43m (No. 216)
Asymmetric unit:
Gd  0.0000  0.0000  0.0000 x4
Mg  0.0000  0.0000  0.5000 x4
Tl  0.2500  0.2500  0.7500 x4
Pd  0.2500  0.2500  0.2500 x4

Ag2TeRu | PBE | optimized geometry

Properties
- Volume: 73.7 Å³/cell
- DOS(E_F): 3.47 states/eV/f.u.
- Magnetization: 0.00 μB per formula unit
- Formation energy without anion corrections: 0.39 eV per atom

Lattice parameters (Å, degrees): 3.9290 3.9290 4.7721 90.00 90.00 90.00
Space group P4/mmm (No. 123)
Asymmetric unit:
Ag  0.0000  0.5000  0.0000 x2
Te  0.0000  0.0000  0.5000 x1
Ru  0.5000  0.5000  0.5000 x1

KCuPb2 | PBE | optimized geometry

Properties
- Volume: 253.8 Å³/cell
- Formation energy: 0.080 eV/atom
- DOS(E_F): 1.49 states/eV/f.u.
- Magnetization: 0.00 μB per formula unit

Lattice parameters (Å, degrees): 3.8413 4.1726 15.8360 90.00 90.00 90.00
Space group Imm2 (No. 44)
Asymmetric unit:
K  0.0000  0.0000  0.0000 x2
Cu  0.0000  0.5000  0.7212 x2
Pb  0.0000  0.0000  0.3468 x2
Pb  0.0000  0.5000  0.1873 x2

TbNdIn6 | PBE | optimized geometry

Properties
- Excess energy over the best structure of this formula in the dataset: 0.060 eV per atom
- Volume: 205.9 Å³/cell
- Formation energy: -0.390 eV/atom
- DOS(E_F): 4.25 states/eV/f.u.
- Magnetization: 0.00 μB per formula unit

Lattice parameters (Å, degrees): 6.6949 6.6949 5.3030 90.00 90.00 120.00
Space group P-6m2 (No. 187)
Asymmetric unit:
Tb  0.0000  0.0000  0.0000 x1
Nd  0.6667  0.3333  0.5000 x1
In  0.0172  0.5086  0.0000 x3
In  0.1720  0.3440  0.5000 x3

Pm7Hg2Rh2 | PBE | optimized geometry

Properties
- Volume: 664.1 Å³/cell
- Formation energy: -0.373 eV/atom
- DOS(E_F): 11.34 states/eV/f.u.
- Magnetization: 0.00 μB per formula unit

Lattice parameters (Å, degrees): 8.1090 11.2171 7.3009 90.00 90.00 90.00
Space group Cmmm (No. 65)
Asymmetric unit:
Pm  0.0000  0.0000  0.0000 x2
Pm  0.0000  0.5000  0.2462 x4
Pm  0.2500  0.2500  0.2539 x8
Hg  0.1797  0.0000  0.5000 x4
Rh  0.0000  0.2904  0.0000 x4

Cd2HgBi | PBE | optimized geometry

Properties
- Excess energy over the best structure of this formula in the dataset: 0.031 eV per atom
- Volume: 321.8 Å³/cell
- Formation energy: 0.064 eV/atom
- DOS(E_F): 1.41 states/eV/f.u.
- Magnetization: 0.00 μB per formula unit

Lattice parameters (Å, degrees): 5.9057 5.9057 10.6554 90.00 90.00 120.00
Space group P3_121 (No. 152)
Asymmetric unit:
Cd  0.0028  0.5241  0.3599 x6
Hg  0.0000  0.5316  0.6667 x3
Bi  0.0000  0.9690  0.1667 x3

HWCl2 | PBE | optimized geometry

Properties
- Excess energy over the best structure of this formula in the dataset: 0.337 eV per atom
- Volume: 208.2 Å³/cell
- DOS(E_F): 1.11 states/eV/f.u.
- Magnetization: 0.00 μB per formula unit

Lattice parameters (Å, degrees): 5.9272 5.9272 5.9272 90.00 90.00 90.00
Space group Fm-3m (No. 225)
Asymmetric unit:
H  0.0000  0.0000  0.0000 x4
W  0.0000  0.0000  0.5000 x4
Cl  0.2500  0.2500  0.2500 x8

Repeat the third record exactly.
Ag2TeRu | PBE | optimized geometry

Properties
- Volume: 73.7 Å³/cell
- DOS(E_F): 3.47 states/eV/f.u.
- Magnetization: 0.00 μB per formula unit
- Formation energy without anion corrections: 0.39 eV per atom

Lattice parameters (Å, degrees): 3.9290 3.9290 4.7721 90.00 90.00 90.00
Space group P4/mmm (No. 123)
Asymmetric unit:
Ag  0.0000  0.5000  0.0000 x2
Te  0.0000  0.0000  0.5000 x1
Ru  0.5000  0.5000  0.5000 x1

Copy entry 5 word for word.
TbNdIn6 | PBE | optimized geometry

Properties
- Excess energy over the best structure of this formula in the dataset: 0.060 eV per atom
- Volume: 205.9 Å³/cell
- Formation energy: -0.390 eV/atom
- DOS(E_F): 4.25 states/eV/f.u.
- Magnetization: 0.00 μB per formula unit

Lattice parameters (Å, degrees): 6.6949 6.6949 5.3030 90.00 90.00 120.00
Space group P-6m2 (No. 187)
Asymmetric unit:
Tb  0.0000  0.0000  0.0000 x1
Nd  0.6667  0.3333  0.5000 x1
In  0.0172  0.5086  0.0000 x3
In  0.1720  0.3440  0.5000 x3

Among the records above, which one has the highest volume?
Pm7Hg2Rh2

Which of these has the highest magnetization?
CeEuI2